[1]
Computed, not measured: a crystal of CaZn2Bi2 relaxed with PBEsol at the meta-GGA SCAN level of DFT.

abc: 4.1697 4.1697 14.7715
angles: 90.00 90.00 90.00
Closest atoms and distances in Å follow each position.
Space group I4/mmm (No. 139)
Symmetry-distinct sites (fractional):
1 Ca 0.0000 0.0000 0.0000 (multiplicity 2)  8 Bi 3.44
2 Zn 0.0000 0.5000 0.2500 (multiplicity 4)  4 Bi 2.84, 4 Zn 2.95
3 Bi 0.0000 0.0000 0.3804 (multiplicity 4)  4 Zn 2.84

Values from the calculation:
The value obtained for the calculated formation energy is -0.23 eV per atom. The value obtained for the density of states at the Fermi level is 1.9 states/eV/f.u. The calculation puts the uncorrected energy at -390.0 eV for the cell shown.

=====

[2]
Computed, not measured: a crystal of Ca9Zn4Bi9 relaxed with PBEsol at the meta-GGA SCAN level of DFT.

abc: 12.5066 21.8259 4.6195
angles: 90.00 90.00 90.00
Closest atoms and distances in Å follow each position.
Space group Pbam (No. 55)
Symmetry-distinct sites (fractional):
1 Ca 0.0000 0.0000 0.0000 (multiplicity 2)  6 Bi 3.21-3.32, 2 Zn 3.50
2 Ca 0.0758 0.4120 0.5000 (multiplicity 4)  5 Bi 3.15-3.27, 2 Zn 3.16
3 Ca 0.1284 0.8629 0.5000 (multiplicity 4)  4 Zn 3.17-3.52, 5 Bi 3.21-3.33
4 Ca 0.1308 0.2345 0.5000 (multiplicity 4)  6 Bi 3.20-3.38
5 Ca 0.2000 0.6021 0.0000 (multiplicity 4)  1 Zn 3.25, 6 Bi 3.26-3.35
6 Zn 0.1092 0.7640 0.0000 (multiplicity 4)  4 Bi 2.77-2.87
7 Zn 0.2315 0.4543 0.0000 (multiplicity 4)  4 Bi 2.75-3.06
8 Bi 0.0000 0.5000 0.0000 (multiplicity 2)  2 Zn 3.06, 6 Ca 3.15-3.35
9 Bi 0.0499 0.1444 0.0000 (multiplicity 4)  1 Zn 2.82
10 Bi 0.1085 0.6943 0.5000 (multiplicity 4)  2 Zn 2.77
11 Bi 0.1900 0.0114 0.5000 (multiplicity 4)  2 Zn 2.80
12 Bi 0.1929 0.3301 0.0000 (multiplicity 4)  2 Zn 2.75-2.87

Values from the calculation:
The value obtained for the calculated formation energy is -0.74 eV per atom. The value obtained for the density of states at the Fermi level is 4.3 states/eV/f.u. The calculation puts the uncorrected energy at -1729.2 eV for the cell shown.

=====

[3]
Computed, not measured: a crystal of CaZrBi2 relaxed with PBEsol at the meta-GGA SCAN level of DFT.

abc: 7.5002 7.5002 7.5002
angles: 90.00 90.00 90.00
Closest atoms and distances in Å follow each position.
Space group Fm-3m (No. 225)
Symmetry-distinct sites (fractional):
1 Ca 0.0000 0.0000 0.0000 (multiplicity 4)  8 Bi 3.25
2 Zr 0.0000 0.0000 0.5000 (multiplicity 4)  8 Bi 3.25
3 Bi 0.2500 0.2500 0.2500 (multiplicity 8)  4 Zr 3.25, 4 Ca 3.25

Values from the calculation:
The value obtained for the calculated formation energy is -0.41 eV per atom. The value obtained for the density of states at the Fermi level is 4.3 states/eV/f.u. The calculation puts the uncorrected energy at -796.7 eV for the cell shown.

=====

[4]
Computed, not measured: a crystal of Cd3Bi relaxed with PBEsol at the meta-GGA SCAN level of DFT.

abc: 4.5081 4.5081 9.4263
angles: 90.00 90.00 90.00
Closest atoms and distances in Å follow each position.
Space group I4/mmm (No. 139)
Symmetry-distinct sites (fractional):
1 Cd 0.0000 0.0000 0.0000 (multiplicity 2)  4 Bi 3.19, 8 Cd 3.26
2 Cd 0.0000 0.5000 0.2500 (multiplicity 4)  8 Cd 3.19-3.26, 4 Bi 3.26
3 Bi 0.0000 0.0000 0.5000 (multiplicity 2)  12 Cd 3.19-3.26

Values from the calculation:
The value obtained for the calculated formation energy is 0.10 eV per atom. The value obtained for the density of states at the Fermi level is 1.4 states/eV/f.u. The calculation puts the uncorrected energy at -338.9 eV for the cell shown.

=====

[5]
Computed, not measured: a crystal of CdBi3Cl relaxed with PBEsol at the meta-GGA SCAN level of DFT.

abc: 5.5850 5.5850 5.5850
angles: 90.00 90.00 90.00
Closest atoms and distances in Å follow each position.
Space group Pm-3m (No. 221)
Symmetry-distinct sites (fractional):
1 Cd 0.0000 0.0000 0.0000 (multiplicity 1)  6 Bi 2.79
2 Bi 0.0000 0.0000 0.5000 (multiplicity 3)  2 Cd 2.79
3 Cl 0.5000 0.5000 0.5000 (multiplicity 1)  12 Bi 3.95

Values from the calculation:
Its uncorrected formation energy is 0.543 eV/atom. The value obtained for the density of states at the Fermi level is 4.8 states/eV/f.u. The calculation puts the uncorrected energy at -271.4 eV for the cell shown.

=====

[6]
Computed, not measured: a crystal of CdBi12Cl14O12 relaxed with PBEsol at the meta-GGA SCAN level of DFT.

abc: 5.4631 50.1383 5.4631
angles: 90.00 90.00 90.00
Closest atoms and distances in Å follow each position.
Space group Cmmm (No. 65)
Symmetry-distinct sites (fractional):
1 Cd 0.0000 0.0000 0.0000 (multiplicity 2)  6 Cl 2.58-2.73
2 Bi 0.0000 0.0773 0.5000 (multiplicity 4)  4 O 2.31
3 Bi 0.0000 0.1284 0.0000 (multiplicity 4)  4 O 2.31
4 Bi 0.0000 0.2247 0.5000 (multiplicity 4)  4 O 2.31
5 Bi 0.0000 0.2753 0.0000 (multiplicity 4)  4 O 2.31
6 Bi 0.0000 0.3723 0.5000 (multiplicity 4)  4 O 2.31
7 Bi 0.0000 0.4227 0.0000 (multiplicity 4)  4 O 2.31
8 Cl 0.0000 0.0000 0.5000 (multiplicity 2)  2 Cd 2.73
9 Cl 0.0000 0.0515 0.0000 (multiplicity 4)  1 Cd 2.58
10 Cl 0.0000 0.1543 0.5000 (multiplicity 4)  4 Bi 3.03-3.04, 4 O 3.23
11 Cl 0.0000 0.1984 0.0000 (multiplicity 4)  4 Bi 3.03, 4 O 3.23
12 Cl 0.0000 0.3016 0.5000 (multiplicity 4)  4 Bi 3.03, 4 O 3.23
13 Cl 0.0000 0.3457 0.0000 (multiplicity 4)  4 Bi 3.03-3.04, 4 O 3.23
14 Cl 0.0000 0.4480 0.5000 (multiplicity 4)  4 Bi 3.01, 4 O 3.20
15 Cl 0.0000 0.5000 0.0000 (multiplicity 2)  2 Cd 2.73
16 O 0.2484 0.1027 0.2484 (multiplicity 16)  4 Bi 2.31
17 O 0.2500 0.2500 0.2500 (multiplicity 8)  4 Bi 2.31

Values from the calculation:
Its uncorrected formation energy is -1.227 eV/atom. The value obtained for the density of states at the Fermi level is 0.0 states/eV/f.u. The calculation puts the uncorrected energy at -2415.3 eV for the cell shown.

=====

[7]
Computed, not measured: a crystal of CdBiClO2 relaxed with PBEsol at the meta-GGA SCAN level of DFT.

abc: 6.0637 4.1767 7.5413
angles: 90.00 99.66 90.00
Closest atoms and distances in Å follow each position.
Space group P2_1/m (No. 11)
Symmetry-distinct sites (fractional):
1 Cd 0.1560 0.2500 0.3996 (multiplicity 2)  4 O 2.25-2.43, 1 Cl 2.52
2 Bi 0.1944 0.2500 0.9024 (multiplicity 2)  4 O 2.13-2.27
3 Cl 0.4641 0.7500 0.6928 (multiplicity 2)  1 Cd 2.52
4 O 0.0118 0.7500 0.3554 (multiplicity 2)  1 Bi 2.13, 3 Cd 2.25-2.27
5 O 0.0476 0.7500 0.9073 (multiplicity 2)  3 Bi 2.22-2.27, 1 Cd 2.43

Values from the calculation:
Its uncorrected formation energy is -1.256 eV/atom. The value obtained for the density of states at the Fermi level is 0.0 states/eV/f.u. The calculation puts the uncorrected energy at -271.4 eV for the cell shown.

=====

[8]
Computed, not measured: a crystal of CdBi8Cl10O8 relaxed with PBEsol at the meta-GGA SCAN level of DFT.

abc: 5.4546 35.4267 5.4545
angles: 90.00 90.00 90.00
Closest atoms and distances in Å follow each position.
Space group Cmmm (No. 65)
Symmetry-distinct sites (fractional):
1 Cd 0.0000 0.0000 0.0000 (multiplicity 2)  6 Cl 2.58-2.73
2 Bi 0.0000 0.1095 0.5000 (multiplicity 4)  4 O 2.31
3 Bi 0.0000 0.1819 0.0000 (multiplicity 4)  4 O 2.31
4 Bi 0.0000 0.3190 0.5000 (multiplicity 4)  4 O 2.31
5 Bi 0.0000 0.3905 0.0000 (multiplicity 4)  4 O 2.31
6 Cl 0.0000 0.0000 0.5000 (multiplicity 2)  2 Cd 2.73
7 Cl 0.0000 0.0729 0.0000 (multiplicity 4)  1 Cd 2.58
8 Cl 0.0000 0.2187 0.5000 (multiplicity 4)  4 Bi 3.02-3.04, 4 O 3.23
9 Cl 0.0000 0.2813 0.0000 (multiplicity 4)  4 Bi 3.02-3.04, 4 O 3.23
10 Cl 0.0000 0.4264 0.5000 (multiplicity 4)  4 Bi 3.01, 4 O 3.20
11 Cl 0.0000 0.5000 0.0000 (multiplicity 2)  2 Cd 2.73
12 O 0.2485 0.1455 0.2485 (multiplicity 16)  4 Bi 2.31

Values from the calculation:
Its uncorrected formation energy is -1.216 eV/atom. The value obtained for the density of states at the Fermi level is 0.0 states/eV/f.u. The calculation puts the uncorrected energy at -1643.1 eV for the cell shown.

=====

[9]
Computed, not measured: a crystal of Cd3CoBi relaxed with PBEsol at the meta-GGA SCAN level of DFT.

abc: 5.6772 5.6772 5.6772
angles: 90.00 90.00 90.00
Closest atoms and distances in Å follow each position.
Space group Pm-3m (No. 221)
Symmetry-distinct sites (fractional):
1 Cd 0.0000 0.0000 0.5000 (multiplicity 3)  2 Bi 2.84
2 Co 0.5000 0.5000 0.5000 (multiplicity 1)  12 Cd 4.01
3 Bi 0.0000 0.0000 0.0000 (multiplicity 1)  6 Cd 2.84

Values from the calculation:
The value obtained for the calculated formation energy is 1.04 eV per atom. The value obtained for the density of states at the Fermi level is 6.8 states/eV/f.u. The calculation puts the uncorrected energy at -181.9 eV for the cell shown.

=====

[10]
Computed, not measured: a crystal of CdInCo2Bi relaxed with PBEsol at the meta-GGA SCAN level of DFT.

abc: 4.7252 4.7252 5.0570
angles: 90.00 90.00 90.00
Closest atoms and distances in Å follow each position.
Space group P4/mmm (No. 123)
Symmetry-distinct sites (fractional):
1 Cd 0.0000 0.0000 0.0000 (multiplicity 1)  2 In 2.53
2 In 0.0000 0.0000 0.5000 (multiplicity 1)  4 Co 2.36, 2 Cd 2.53
3 Co 0.0000 0.5000 0.5000 (multiplicity 2)  2 In 2.36
4 Bi 0.5000 0.5000 0.0000 (multiplicity 1)  4 Cd 3.34, 8 Co 3.46

Values from the calculation:
The value obtained for the calculated formation energy is 1.04 eV per atom. The value obtained for the density of states at the Fermi level is 2.5 states/eV/f.u. The calculation puts the uncorrected energy at -171.8 eV for the cell shown.

=====

[11]
Computed, not measured: a crystal of CdCoSi2Bi relaxed with PBEsol at the meta-GGA SCAN level of DFT.

abc: 4.8175 4.8175 5.6548
angles: 90.00 90.00 90.00
Closest atoms and distances in Å follow each position.
Space group P4/mmm (No. 123)
Symmetry-distinct sites (fractional):
1 Cd 0.0000 0.0000 0.0000 (multiplicity 1)  4 Si 2.41
2 Co 0.5000 0.5000 0.5000 (multiplicity 1)  4 Bi 3.41, 8 Si 3.71
3 Si 0.0000 0.5000 0.0000 (multiplicity 2)  2 Cd 2.41
4 Bi 0.0000 0.0000 0.5000 (multiplicity 1)  2 Cd 2.83

Values from the calculation:
Its uncorrected formation energy is 1.552 eV/atom. The value obtained for the density of states at the Fermi level is 2.6 states/eV/f.u. The calculation puts the uncorrected energy at -138.6 eV for the cell shown.

=====

[12]
Computed, not measured: a crystal of CrCd2BiO relaxed with PBEsol at the meta-GGA SCAN level of DFT.

abc: 5.5094 5.5094 3.5098
angles: 90.00 90.00 90.00
Closest atoms and distances in Å follow each position.
Space group P4/mmm (No. 123)
Symmetry-distinct sites (fractional):
1 Cr 0.0000 0.0000 0.0000 (multiplicity 1)  2 O 1.75
2 Cd 0.0000 0.5000 0.0000 (multiplicity 2)  2 Cr 2.75
3 Bi 0.5000 0.5000 0.5000 (multiplicity 1)  8 Cd 3.27, 2 Bi 3.51
4 O 0.0000 0.0000 0.5000 (multiplicity 1)  2 Cr 1.75

Values from the calculation:
Its uncorrected formation energy is -0.304 eV/atom. The value obtained for the density of states at the Fermi level is 3.1 states/eV/f.u. The calculation puts the uncorrected energy at -165.5 eV for the cell shown.

=====

The highest uncorrected energy belongs to which entry? CdCoSi2Bi

=====

uncorrected energy of number 6 (CdBi12Cl14O12)? -2415.3 eV for the cell shown

=====

What is the uncorrected energy in the second record? -1729.2 eV for the cell shown